(1)
Computed, not measured: an optimized crystal structure of Ba2PuCl6 at the GGA-PBE level of DFT.

Properties
Its density of states at the Fermi level is 36.20 states/eV/cell. The energy relative to the elements, uncorrected comes out at -2.209 eV/atom. As for the total magnetization: 6.00 μB per formula unit. The space-group type is P4_2/mnm, No. 136.

```
18
Lattice="7.003 0.000 0.000 0.000 7.003 0.000 0.000 0.000 13.979" Properties=species:S:1:pos:R:3 pbc="T T T"
Ba 0.000 0.000 2.332
Ba 0.000 0.000 11.647
Ba 3.501 3.501 4.658
Ba 3.501 3.501 9.321
Pu 0.000 0.000 6.990
Pu 3.501 3.501 0.000
Cl 1.322 1.322 4.805
Cl 1.322 1.322 9.174
Cl 1.457 1.457 0.000
Cl 2.045 4.958 6.990
Cl 2.179 4.823 2.184
Cl 2.179 4.823 11.795
Cl 4.823 2.179 2.184
Cl 4.823 2.179 11.795
Cl 4.958 2.045 6.990
Cl 5.546 5.546 0.000
Cl 5.681 5.681 4.805
Cl 5.681 5.681 9.174
```

(2)
Computed, not measured: an optimized crystal structure of VP3Au at the GGA-PBE level of DFT.

Properties
The value obtained for the energy of formation is 0.426 eV per atom. Its density of states at the Fermi level is 3.09 states/eV/cell. As for the total magnetization: 0.00 μB per formula unit. The space-group type is Pm-3m, No. 221.

```
5
Lattice="4.523 0.000 0.000 0.000 4.523 0.000 0.000 0.000 4.523" Properties=species:S:1:pos:R:3 pbc="T T T"
V 0.000 0.000 0.000
P 0.000 0.000 2.261
P 0.000 2.261 0.000
P 2.261 0.000 0.000
Au 2.261 2.261 2.261
```

(3)
Computed, not measured: an optimized crystal structure of Cs2Ag2Br5 at the GGA-PBE level of DFT.

Properties
Its density of states at the Fermi level is 11.80 states/eV/cell. The energy relative to the elements, uncorrected comes out at -0.968 eV/atom. As for the total magnetization: 0.00 μB per formula unit. The space-group type is Ima2, No. 46.

```
18
Lattice="-11.703 3.790 3.894 11.703 -3.790 3.894 11.703 3.790 -3.894" Properties=species:S:1:pos:R:3 pbc="T T T"
Cs 2.617 0.009 0.000
Cs 9.086 0.009 0.000
Cs 2.617 3.781 3.894
Cs 9.086 3.781 3.894
Ag 5.852 3.341 0.078
Ag 0.000 0.000 3.862
Ag 11.703 0.000 3.862
Ag 5.852 0.450 3.972
Br 3.298 -0.071 3.761
Br 8.405 -0.071 3.761
Br 3.298 3.862 -0.133
Br 8.405 3.862 -0.133
Br -0.009 1.906 1.926
Br 11.712 1.906 1.926
Br 5.852 2.877 2.757
Br -5.852 4.703 2.757
Br 0.009 5.674 1.926
Br -0.009 1.884 5.819
```

(4)
Computed, not measured: an optimized crystal structure of ZrH2Rh2 at the GGA-PBE level of DFT.

Properties
Its density of states at the Fermi level is 2.28 states/eV/cell. The value obtained for the total energy is -6.383 eV per atom. As for the total magnetization: 0.00 μB per formula unit. The space-group type is I4/mmm, No. 139.

```
5
Lattice="-1.737 1.737 4.563 1.737 -1.737 4.563 1.737 1.737 -4.563" Properties=species:S:1:pos:R:3 pbc="T T T"
Zr 0.000 0.000 0.000
H 1.737 0.000 2.281
H 0.000 1.737 2.281
Rh 0.000 0.000 3.144
Rh 0.000 0.000 5.981
```